# CsSrBi2Cl

An optimized crystal structure of CsSrBi2Cl (PBE, Alexandria via LeMat-Bulk).

Cell: 6.5436 6.5436 5.7270 Å, 90.00 90.00 90.00°
Last column: nearest neighbours and their distance in Å.
Space group P4/mmm (No. 123)
Inequivalent atoms, fractional coordinates:
Cs 0.0000 0.0000 0.0000 [1 per cell]  8 Bi 4.35, 4 Cl 4.63
Sr 0.5000 0.5000 0.5000 [1 per cell]  2 Cl 2.86
Bi 0.0000 0.5000 0.5000 [2 per cell]  2 Sr 3.27
Cl 0.5000 0.5000 0.0000 [1 per cell]  2 Sr 2.86

Summary:
N(E_F) ... 2.674 states/eV per cell

# Cs2TiBiCl6

An optimized crystal structure of Cs2TiBiCl6 (PBE, Alexandria via LeMat-Bulk).

Cell: 7.4104 7.4104 12.5345 Å, 90.00 90.00 90.00°
Last column: nearest neighbours and their distance in Å.
Space group I4/mmm (No. 139)
Inequivalent atoms, fractional coordinates:
Cs 0.0000 0.5000 0.2500 [4 per cell]  12 Cl 3.77-4.09
Ti 0.0000 0.0000 0.0000 [2 per cell]  6 Cl 2.42-2.48
Bi 0.0000 0.0000 0.5000 [2 per cell]  4 Cl 2.76
Cl 0.0000 0.0000 0.1930 [4 per cell]  1 Ti 2.42
Cl 0.2363 0.2363 0.0000 [8 per cell]  1 Ti 2.48, 1 Bi 2.76

Summary:
N(E_F) ... 0.035 states/eV per cell

# Cs2TlBiCl6

An optimized crystal structure of Cs2TlBiCl6 (PBE, Alexandria via LeMat-Bulk).

Cell: 11.5733 11.5733 11.5733 Å, 90.00 90.00 90.00°
Last column: nearest neighbours and their distance in Å.
Space group Fm-3m (No. 225)
Inequivalent atoms, fractional coordinates:
Cs 0.2500 0.2500 0.2500 [8 per cell]  12 Cl 4.10
Tl 0.0000 0.0000 0.0000 [4 per cell]  6 Cl 3.06
Bi 0.0000 0.0000 0.5000 [4 per cell]  6 Cl 2.72
Cl 0.0000 0.0000 0.2648 [24 per cell]  1 Bi 2.72

Summary:
N(E_F) ... 0.000 states/eV per cell
E above lowest polymorph ... 18.9 meV per atom

# Cs2TlBiCl6

An optimized crystal structure of Cs2TlBiCl6 (PBE, Alexandria via LeMat-Bulk).

Cell: 7.9885 8.2923 13.9690 Å, 90.00 124.85 90.00°
Last column: nearest neighbours and their distance in Å.
Space group P2_1/c (No. 14)
Inequivalent atoms, fractional coordinates:
Cs 0.2342 0.0574 0.2502 [4 per cell]  6 Cl 3.55-3.83
Tl 0.0000 0.0000 0.5000 [2 per cell]  6 Cl 3.15-3.19
Bi 0.5000 0.0000 0.0000 [2 per cell]  6 Cl 2.74-2.75
Cl 0.1824 0.1863 0.9599 [4 per cell]  1 Bi 2.74
Cl 0.2731 0.7264 0.9559 [4 per cell]  1 Bi 2.75
Cl 0.3494 0.0226 0.7686 [4 per cell]  1 Bi 2.74

Summary:
N(E_F) ... 0.000 states/eV per cell
E above lowest polymorph ... 0.0 meV per atom

Number 1: ΔE_f (raw) -2.4 eV/f.u.. Number 2: ΔE_f (raw) -14.3 eV/f.u.. Number 3: ΔE_f (raw) -14.5 eV/f.u.. Number 4: ΔE_f (raw) -14.7 eV/f.u..